1.
This record from the Alexandria database describes an optimized crystal structure of LaSb2Ir. The functional is PBE.

Cell lengths 5.181, 5.181, 5.181 Å; angles 60.00, 60.00, 60.00 degrees
Atoms (fractional coordinates):
1 Ir 0.500 0.500 0.500
2 La 0.750 0.750 0.750
3 Sb 0.000 0.000 0.000
4 Sb 0.250 0.250 0.250

## Properties
formation energy without anion corrections = -136 meV/atom

2.
This record from the Alexandria database describes an optimized crystal structure of LaSb2Ir. The functional is PBE.

Cell lengths 3.471, 3.471, 7.772 Å; angles 90.00, 90.00, 90.00 degrees
Atoms (fractional coordinates):
1 Ir 0.500 0.500 0.250
2 La 0.500 0.500 0.750
3 Sb 0.000 0.000 0.052
4 Sb 0.000 0.000 0.448

## Properties
formation energy without anion corrections = -216 meV/atom

3.
This record from the Alexandria database describes an optimized crystal structure of LaSb2Ir. The functional is PBE.

Cell lengths 4.322, 4.322, 6.837 Å; angles 71.58, 71.58, 60.00 degrees
Atoms (fractional coordinates):
1 Ir 0.577 0.577 0.269
2 La 0.757 0.757 0.729
3 Sb 0.975 0.975 0.077
4 Sb 0.192 0.192 0.425

## Properties
formation energy without anion corrections = -672 meV/atom

4.
This record from the Alexandria database describes an optimized crystal structure of LaSb2Ir. The functional is PBE.

Cell lengths 4.035, 4.401, 6.303 Å; angles 69.73, 90.00, 90.00 degrees
Atoms (fractional coordinates):
1 Ir 0.000 0.279 0.568
2 La 0.500 0.724 0.677
3 Sb 0.000 0.056 0.015
4 Sb 0.500 0.442 0.240

## Properties
formation energy without anion corrections = -484 meV/atom

5.
This record from the Alexandria database describes an optimized crystal structure of LaSb2Ir. The functional is PBE.

Cell lengths 6.028, 6.028, 6.028 Å; angles 145.11, 125.77, 66.12 degrees
Atoms (fractional coordinates):
1 Ir 0.750 0.250 0.500
2 La 0.250 0.750 0.500
3 Sb 0.949 0.949 0.000
4 Sb 0.551 0.551 0.000

## Properties
formation energy without anion corrections = -440 meV/atom

6.
This record from the Alexandria database describes an optimized crystal structure of La3SbIr. The functional is PBE.

Cell lengths 4.410, 8.606, 16.579 Å; angles 90.00, 90.00, 90.00 degrees
Atoms (fractional coordinates):
1 La 0.250 0.349 0.544
2 La 0.750 0.841 0.203
3 La 0.750 0.492 0.903
4 La 0.750 0.992 0.597
5 La 0.750 0.651 0.456
6 La 0.250 0.008 0.403
7 La 0.250 0.849 0.956
8 La 0.750 0.341 0.297
9 La 0.250 0.659 0.703
10 La 0.250 0.159 0.797
11 La 0.750 0.151 0.044
12 La 0.250 0.508 0.097
13 Sb 0.750 0.867 0.800
14 Sb 0.250 0.133 0.200
15 Sb 0.750 0.367 0.700
16 Sb 0.250 0.633 0.300
17 Ir 0.250 0.286 0.955
18 Ir 0.250 0.786 0.545
19 Ir 0.750 0.214 0.455
20 Ir 0.750 0.714 0.045

## Properties
energy above the lowest structure with this stoichiometry = 0.0 kJ/mol of formula units
formation energy without anion corrections = -891 meV/atom

7.
This record from the Alexandria database describes an optimized crystal structure of LaSb2Ir. The functional is PBE.

Cell lengths 4.605, 4.605, 4.452 Å; angles 90.00, 90.00, 90.00 degrees
Atoms (fractional coordinates):
1 Ir 0.500 0.000 0.500
2 La 0.000 0.500 0.500
3 Sb 0.000 0.000 0.000
4 Sb 0.500 0.500 0.000

## Properties
formation energy without anion corrections = -337 meV/atom

8.
This record from the Alexandria database describes an optimized crystal structure of La2SbIr2. The functional is PBE.

Cell lengths 7.568, 7.568, 4.183 Å; angles 90.00, 90.00, 90.00 degrees
Atoms (fractional coordinates):
1 Sb 0.000 0.000 0.000
2 Sb 0.500 0.500 0.000
3 Ir 0.376 0.876 0.000
4 Ir 0.876 0.624 0.000
5 Ir 0.624 0.124 0.000
6 Ir 0.124 0.376 0.000
7 La 0.182 0.682 0.500
8 La 0.682 0.818 0.500
9 La 0.818 0.318 0.500
10 La 0.318 0.182 0.500

## Properties
energy above the lowest structure with this stoichiometry = 0.0 kJ/mol of formula units
formation energy without anion corrections = -719 meV/atom